Entry from Alexandria: a crystal of Na4Ti7O16 relaxed with PBEsol (meta-GGA SCAN).

Cell and atoms, written as POSCAR:
```
Na4Ti7O16
1.0
-0.2152 -3.6440 4.7707
5.6932 -1.8479 -1.1547
2.5555 6.8075 5.3150
Na Ti O
4 7 16
direct
0.0000 0.2422 0.3726
0.5000 0.2163 0.1177
0.5000 0.7837 0.8823
0.0000 0.7578 0.6274
0.7549 0.7288 0.2480
0.2451 0.7288 0.2480
0.0000 0.5000 0.0000
0.7549 0.2712 0.7520
0.2451 0.2712 0.7520
0.5000 0.0000 0.5000
0.5000 0.5000 0.5000
0.5000 0.5109 0.2811
0.5000 0.9444 0.2784
0.0000 0.5005 0.2220
0.0000 0.9091 0.2864
0.2339 0.7173 0.0471
0.7661 0.7173 0.0471
0.2339 0.2827 0.9529
0.7661 0.2827 0.9529
0.0000 0.0909 0.7136
0.5000 0.0556 0.7216
0.5000 0.4891 0.7189
0.0000 0.4995 0.7780
0.7080 0.2520 0.5114
0.2920 0.2520 0.5114
0.2920 0.7480 0.4886
0.7080 0.7480 0.4886
```

Properties
Symmetry = P2/m, No. 10
D(E_F) = 0.000 states/eV/f.u.
M_tot = 0.00 μB/cell
Distance to the lowest polymorph of the same formula = 0.0000 eV/atom
E_form (uncorrected) = -288.9 kJ/mol of atoms